[1]
VASP calculation (GGA-PBE) on crystalline Tm5In3Ni12 at its relaxed geometry.

Values from the calculation:
- Fermi-level density of states (states/eV per atom) = 0.563
- crystal system = cubic
- calculated formation energy (eV per atom) = 0.270
- density (g cm⁻³) = 7.6

a b c (Å): 14.889 14.889 14.889
angles (deg): 90.00 90.00 90.00
Space group Ia-3d (No. 230)
Asymmetric unit:
Tm (0.000, 0.000, 0.000)
Tm (0.000, 0.250, 0.375)
In (0.000, 0.250, 0.125)
Ni (0.007, 0.079, 0.150)

***

[2]
VASP calculation (GGA-PBE) on crystalline TmInNi4 at its relaxed geometry.

Values from the calculation:
- Fermi-level density of states (states/eV per atom) = 0.571
- crystal system = cubic
- calculated formation energy (eV per atom) = -0.412
- density (g cm⁻³) = 10.0

a b c (Å): 7.014 7.014 7.014
angles (deg): 90.00 90.00 90.00
Space group F-43m (No. 216)
Asymmetric unit:
Tm (0.000, 0.000, 0.000)
In (0.250, 0.250, 0.250)
Ni (0.124, 0.124, 0.624)

***

Which value of density does entry 1 give?
7.6 g cm⁻³

***

Which of these has the lowest Fermi-level density of states?
Tm5In3Ni12

***

Fermi-level density of states of number 1 (Tm5In3Ni12)?
0.563 states/eV per atom